DFT (SCAN) results for a PBEsol-optimized structure of CaTa3Mn.

Unit cell a=4.6397 b=4.6397 c=4.6397 alpha=90.00 beta=90.00 gamma=90.00
With the nearest neighbours (Å) after each atom.
Element x y z (fractional)
Ta 0.0000 0.5000 0.0000  2 Ca 2.32
Ta 0.0000 0.0000 0.5000  2 Ca 2.32
Ta 0.5000 0.0000 0.0000  2 Ca 2.32
Mn 0.5000 0.5000 0.5000  12 Ta 3.28
Ca 0.0000 0.0000 0.0000  6 Ta 2.32

Output
Magnetic moment (μB per formula unit): 4.05
DFT formation energy (eV per atom): 2.6488
Space-group type: Pm-3m, No. 221
Total DFT energy (no corrections) (eV for the cell shown): -214.42

DFT (SCAN) results for a PBEsol-optimized structure of ZrZn4Ru.

Unit cell a=4.9321 b=4.9321 c=4.9321 alpha=60.00 beta=60.00 gamma=60.00
With the nearest neighbours (Å) after each atom.
Element x y z (fractional)
Zn 0.3744 0.3744 0.8768  6 Zn 2.45-2.48
Zn 0.8768 0.3744 0.3744  6 Zn 2.45-2.48
Zn 0.3744 0.3744 0.3744  6 Zn 2.45-2.48
Zn 0.3744 0.8768 0.3744  6 Zn 2.45-2.48
Zr 0.7500 0.7500 0.7500  12 Zn 2.89, 4 Ru 3.02
Ru 0.0000 0.0000 0.0000  12 Zn 2.89, 4 Zr 3.02

Output
Magnetic moment (μB per formula unit): 0.00
DFT formation energy (eV per atom): -0.4305
Space-group type: F-43m, No. 216
Total DFT energy (no corrections) (eV for the cell shown): -122.17

DFT (SCAN) results for a PBEsol-optimized structure of CaInSe2.

Unit cell a=5.0658 b=5.0772 c=5.0772 alpha=60.14 beta=60.07 gamma=60.07
With the nearest neighbours (Å) after each atom.
Element x y z (fractional)
Se 0.7496 0.2504 0.2504  4 In 3.10-3.12, 4 Ca 3.11
Se 0.2504 0.7496 0.7496  4 In 3.10-3.12, 4 Ca 3.11
In 0.0000 0.5000 0.5000  8 Se 3.10-3.12
Ca 0.5000 0.0000 0.0000  8 Se 3.11

Output
Magnetic moment (μB per formula unit): 0.00
Space-group type: Immm, No. 71
Total DFT energy (no corrections) (eV for the cell shown): -87.01
ΔE_f (raw) (eV per atom): -0.95

DFT (SCAN) results for a PBEsol-optimized structure of Y2CoRe.

Unit cell a=3.3358 b=4.7554 c=4.7554 alpha=90.00 beta=90.00 gamma=90.00
With the nearest neighbours (Å) after each atom.
Element x y z (fractional)
Co 0.5000 0.0000 0.0000  8 Y 2.90
Y 0.0000 0.5000 0.0000  4 Co 2.90, 4 Re 2.90
Y 0.0000 0.0000 0.5000  4 Co 2.90, 4 Re 2.90
Re 0.5000 0.5000 0.5000  8 Y 2.90

Output
Magnetic moment (μB per formula unit): 0.91
DFT formation energy (eV per atom): 0.2061
Space-group type: P4/mmm, No. 123
Total DFT energy (no corrections) (eV for the cell shown): -143.26

DFT (SCAN) results for a PBEsol-optimized structure of NiHgPt2.

Unit cell a=2.8128 b=4.7256 c=4.8652 alpha=100.48 beta=90.00 gamma=107.31
With the nearest neighbours (Å) after each atom.
Element x y z (fractional)
Pt 0.0058 0.0116 0.0087  3 Ni 2.64-2.76, 5 Pt 2.72-2.81, 4 Hg 2.76-2.86
Pt 0.2534 0.5069 0.7666  4 Ni 2.68-2.95, 5 Pt 2.72-2.81, 3 Hg 2.76-2.83
Ni 0.7462 0.4923 0.2320  7 Pt 2.64-2.95, 3 Hg 2.74-2.80, 2 Ni 2.81
Hg 0.4946 0.9891 0.4926  3 Ni 2.74-2.80, 7 Pt 2.76-2.86, 2 Hg 2.81

Output
Magnetic moment (μB per formula unit): 1.16
DFT formation energy (eV per atom): 0.1012
Space-group type: Cm, No. 8
Total DFT energy (no corrections) (eV for the cell shown): -224.32

DFT (SCAN) results for a PBEsol-optimized structure of BePbO2.

Unit cell a=4.0846 b=4.0846 c=4.0846 alpha=60.00 beta=60.00 gamma=60.00
With the nearest neighbours (Å) after each atom.
Element x y z (fractional)
Be 0.0000 0.0000 0.0000  8 O 2.50
O 0.2500 0.2500 0.2500  4 Pb 2.50, 4 Be 2.50
O 0.7500 0.7500 0.7500  4 Pb 2.50, 4 Be 2.50
Pb 0.5000 0.5000 0.5000  8 O 2.50

Output
Magnetic moment (μB per formula unit): 0.00
Space-group type: Fm-3m, No. 225
Energy above the lowest structure with this stoichiometry (eV/f.u.): 3.58
Total DFT energy (no corrections) (eV for the cell shown): -93.40
ΔE_f (raw) (eV per atom): -0.20